HgOs2 | PBE | relaxed

The space group is I4/mcm (No. 140) and the conventional cell measures 6.435, 6.435 and 5.158 Å, with angles of 90.00, 90.00 and 90.00 degrees. The distinct sites, in fractional coordinates, are Hg at (0.000, 0.000, 0.250) and Os at (0.126, 0.374, 0.000).

As for the formation energy: 1.4701 eV per atom. For the polymorph energy (0 for the lowest one), the calculation gives 1075 meV per atom. As for the uncorrected energy: -18.4 eV per formula unit.